Computed, not measured: an optimized crystal structure of Tb2Mg5Cd4 at the PBE level of DFT.

## Properties
* ΔE_f: -0.0131 eV per atom
* electronic total energy: -1.91 eV/atom

abc: 6.114 11.262 16.547
angles: 90.00 90.00 90.00
Space group Fmmm (No. 69)
One atom of each set of equivalent atoms:
Tb 0.000 0.000 0.167 [8 per cell]
Mg 0.000 0.000 0.500 [4 per cell]
Mg 0.250 0.250 0.000 [8 per cell]
Mg 0.250 0.250 0.250 [8 per cell]
Cd 0.000 0.130 0.361 [16 per cell]



Computed, not measured: an optimized crystal structure of DyZrSc4 at the PBE level of DFT.

## Properties
* ΔE_f: 0.1089 eV per atom
* electronic total energy: -6.30 eV/atom

abc: 8.267 13.276 5.989
angles: 90.00 109.51 90.00
Space group C2/c (No. 15)
One atom of each set of equivalent atoms:
Dy 0.000 0.086 0.250 [4 per cell]
Zr 0.000 0.497 0.750 [4 per cell]
Sc 0.094 0.311 0.533 [8 per cell]
Sc 0.212 0.130 0.875 [8 per cell]



Computed, not measured: an optimized crystal structure of LiCo2BAs at the PBE level of DFT.

## Properties
* ΔE_f: 0.0081 eV per atom
* electronic total energy: -5.48 eV/atom

abc: 7.893 3.396 4.388
angles: 90.00 107.16 90.00
Space group Cm (No. 8)
One atom of each set of equivalent atoms:
Li 0.000 0.000 0.000 [2 per cell]
Co 0.251 0.000 0.758 [2 per cell]
Co 0.495 0.000 0.452 [2 per cell]
B 0.156 0.500 0.875 [2 per cell]
As 0.284 0.500 0.367 [2 per cell]



Computed, not measured: an optimized crystal structure of CsAg2Hg2F7 at the PBE level of DFT.

## Properties
* electronic total energy: -3.18 eV/atom
* formation energy from raw total energies: -1.4890 eV/atom

abc: 4.772 19.823 4.801
angles: 90.00 90.00 90.00
Space group Imm2 (No. 44)
One atom of each set of equivalent atoms:
Cs 0.000 0.000 0.000 [2 per cell]
Ag 0.000 0.252 0.498 [4 per cell]
Hg 0.000 0.385 0.000 [4 per cell]
F 0.000 0.118 0.500 [4 per cell]
F 0.000 0.268 0.998 [4 per cell]
F 0.000 0.383 0.500 [4 per cell]
F 0.000 0.500 0.000 [2 per cell]



Computed, not measured: an optimized crystal structure of ScMo2Pb at the PBE level of DFT.

## Properties
* ΔE_f: 0.3299 eV per atom
* electronic total energy: -7.60 eV/atom

abc: 10.054 3.271 5.054
angles: 90.00 101.00 90.00
Space group C2/m (No. 12)
One atom of each set of equivalent atoms:
Sc 0.000 0.000 0.000 [2 per cell]
Mo 0.247 0.000 0.812 [4 per cell]
Pb 0.000 0.500 0.500 [2 per cell]



Computed, not measured: an optimized crystal structure of BaSbPbCl at the PBE level of DFT.

## Properties
* electronic total energy: -4.06 eV/atom
* formation energy from raw total energies: -1.1611 eV/atom

abc: 5.132 5.132 10.819
angles: 90.00 90.00 90.00
Space group P4/nmm (No. 129, origin choice 2)
One atom of each set of equivalent atoms:
Ba 0.250 0.250 0.168 [2 per cell]
Sb 0.250 0.250 0.685 [2 per cell]
Pb 0.250 0.750 0.500 [2 per cell]
Cl 0.250 0.750 0.000 [2 per cell]



Q: Look up the electronic total energy of the third one.
A: -5.48 eV/atom



What did the fourth record say?
Computed, not measured: an optimized crystal structure of CsAg2Hg2F7 at the PBE level of DFT.

## Properties
* electronic total energy: -3.18 eV/atom
* formation energy from raw total energies: -1.4890 eV/atom

abc: 4.772 19.823 4.801
angles: 90.00 90.00 90.00
Space group Imm2 (No. 44)
One atom of each set of equivalent atoms:
Cs 0.000 0.000 0.000 [2 per cell]
Ag 0.000 0.252 0.498 [4 per cell]
Hg 0.000 0.385 0.000 [4 per cell]
F 0.000 0.118 0.500 [4 per cell]
F 0.000 0.268 0.998 [4 per cell]
F 0.000 0.383 0.500 [4 per cell]
F 0.000 0.500 0.000 [2 per cell]



Q: What is the electronic total energy in the second record?
A: -6.30 eV/atom